(1)
A relaxed structure of La7Pm2Ho2, computed with GGA-PBE.

ΔH_f (0 K)   1.5 eV per formula unit
ΔE to the lowest computed polymorph   27 meV/atom
Calculated volume   396 Å³/f.u.
Crystal system   monoclinic

abc: 10.112 8.675 10.112
angles: 41.93 123.90 138.07
Atoms (fractional coordinates):
Ho: 0.812 0.500 0.812
Ho: 0.188 0.500 0.188
La: 0.000 0.000 0.000
La: 0.902 0.217 0.499
La: 0.098 0.783 0.501
La: 0.501 0.217 0.098
La: 0.601 0.351 0.399
La: 0.499 0.783 0.902
La: 0.399 0.649 0.601
Pm: 0.696 0.871 0.304
Pm: 0.304 0.129 0.696

(2)
A relaxed structure of La2Pm3Ho5, computed with GGA-PBE.

ΔH_f (0 K)   1.8 eV per formula unit
Calculated volume   335 Å³/f.u.
Crystal system   monoclinic

abc: 9.275 9.275 11.227
angles: 123.51 123.51 70.34
Atoms (fractional coordinates):
Pm: 0.727 0.483 0.254
Pm: 0.773 0.023 0.045
Pm: 0.273 0.517 0.746
Pm: 0.227 0.977 0.955
Pm: 0.973 0.229 0.746
Pm: 0.027 0.771 0.254
Ho: 0.028 0.778 0.556
Ho: 0.473 0.723 0.447
Ho: 0.527 0.277 0.553
Ho: 0.359 0.116 0.734
Ho: 0.273 0.523 0.046
Ho: 0.125 0.383 0.266
Ho: 0.727 0.477 0.954
Ho: 0.972 0.222 0.444
Ho: 0.641 0.884 0.266
Ho: 0.875 0.617 0.734
La: 0.522 0.277 0.253
La: 0.478 0.723 0.747
La: 0.769 0.024 0.747
La: 0.231 0.976 0.253

Computed values of energy (unit: Ry per atom) for the preceding records, in sequence: -0.345 -0.332.